Entry 1:
# Sr3CrAg | Alexandria via LeMat-Bulk | GGA-PBEsol | optimized geometry
data_Sr3CrAg
_chemical_formula_sum 'Sr3 Cr1 Ag1'
_cell_length_a 5.9431
_cell_length_b 5.9431
_cell_length_c 5.9431
_cell_angle_alpha 90.00
_cell_angle_beta 90.00
_cell_angle_gamma 90.00
_space_group_name_H-M_alt 'P 1'
_space_group_IT_number 1
loop_
_space_group_symop_operation_xyz
'x,y,z'
loop_
_atom_site_label
_atom_site_fract_x
_atom_site_fract_y
_atom_site_fract_z
Sr1 0.0000 0.5000 0.0000
Sr2 0.0000 0.0000 0.5000
Sr3 0.5000 0.0000 0.0000
Ag1 0.0000 0.0000 0.0000
Cr1 0.5000 0.5000 0.5000
# - Electronic total energy: -3.29 eV per atom

=====

Entry 2:
# CrTcAg4 | Alexandria via LeMat-Bulk | GGA-PBEsol | optimized geometry
data_CrTcAg4
_chemical_formula_sum 'Cr1 Tc1 Ag4'
_cell_length_a 5.2426
_cell_length_b 5.2426
_cell_length_c 5.2426
_cell_angle_alpha 60.00
_cell_angle_beta 60.00
_cell_angle_gamma 60.00
_space_group_name_H-M_alt 'P 1'
_space_group_IT_number 1
loop_
_space_group_symop_operation_xyz
'x,y,z'
loop_
_atom_site_label
_atom_site_fract_x
_atom_site_fract_y
_atom_site_fract_z
Ag1 0.3750 0.3750 0.3750
Ag2 0.3750 0.3750 0.8749
Ag3 0.8749 0.3750 0.3750
Ag4 0.3750 0.8749 0.3750
Cr1 0.7500 0.7500 0.7500
Tc1 0.0000 0.0000 0.0000
# - Electronic total energy: -5.05 eV per atom